Version one
Density functional theory data (GGA-PBE) for crystalline NbGa2Tc2 at its relaxed geometry.

Calculated values
As for the magnetization: 0.000 μB per formula unit. The calculation puts the density of states at the Fermi level at 5.970 states/eV per cell. For the calculated volume, the calculation gives 15.86 A^3/atom.

Cell: 7.0033 7.0033 3.2346 Å, 90.00 90.00 90.00°
Space group P4/mbm (No. 127)
Asymmetric unit:
Nb1 0.0000 0.0000 0.0000
Ga1 0.1537 0.3463 0.5000
Tc1 0.1446 0.6446 0.0000



Version two
Density functional theory data (GGA-PBE) for crystalline NbGa2Tc2 at its relaxed geometry.

Calculated values
As for the magnetization: 0.000 μB per formula unit. The calculation puts the density of states at the Fermi level at 6.197 states/eV per cell. For the calculated volume, the calculation gives 15.34 A^3/atom.

Cell: 6.9918 6.9918 3.1387 Å, 90.00 90.00 90.00°
Space group P4/mbm (No. 127)
Asymmetric unit:
Nb1 0.0000 0.0000 0.0000
Ga1 0.1301 0.3699 0.0000
Tc1 0.1686 0.6686 0.5000



In terms of stability, version two leads; the second structure lies 0.157 eV/atom higher.



Version one
Density functional theory data (GGA-PBE) for crystalline Nb3GaTe at its relaxed geometry.

Calculated values
As for the magnetization: 0.000 μB per formula unit. The calculation puts the density of states at the Fermi level at 7.789 states/eV per cell. For the calculated volume, the calculation gives 25.37 A^3/atom.

Cell: 5.0248 5.0248 5.0248 Å, 90.00 90.00 90.00°
Space group Pm-3m (No. 221)
Asymmetric unit:
Nb1 0.0000 0.0000 0.5000
Ga1 0.5000 0.5000 0.5000
Te1 0.0000 0.0000 0.0000



Version two
Density functional theory data (GGA-PBE) for crystalline Nb3GaTe at its relaxed geometry.

Calculated values
As for the magnetization: 0.000 μB per formula unit. The calculation puts the density of states at the Fermi level at 5.932 states/eV per cell. For the calculated volume, the calculation gives 22.15 A^3/atom.

Cell: 4.8024 4.8024 4.8024 Å, 90.00 90.00 90.00°
Space group Pm-3m (No. 221)
Asymmetric unit:
Nb1 0.0000 0.0000 0.5000
Ga1 0.0000 0.0000 0.0000
Te1 0.5000 0.5000 0.5000



In terms of stability, version two leads; the second structure lies 0.410 eV/atom higher.